Er3Cd3In2Au | GGA-PBE | optimized geometry

Cell and atoms, written as POSCAR:
```
Er3Cd3In2Au
1.0
7.4644 0.0000 0.0000
-3.7322 6.4644 0.0000
0.0000 0.0000 4.5021
Er Au Cd In
3 1 3 2
Cartesian
1.5156 2.6251 0.0000
4.4332 0.0000 0.0000
-2.2166 3.8393 0.0000
0.0000 0.0000 0.0000
1.8166 0.0000 2.2510
2.8239 4.8912 2.2510
-0.9083 1.5732 2.2510
0.0000 4.3096 2.2510
3.7322 2.1548 2.2510
```

Properties
Calculated total energy: -0.1197 Ha/atom


Tb2ErCd3NiAu2 | GGA-PBE | optimized geometry

Cell and atoms, written as POSCAR:
```
Tb2ErCd3NiAu2
1.0
3.9170 0.0000 0.0000
0.0000 6.5768 3.8071
0.0000 -6.5768 3.8071
Au Cd Tb Er Ni
2 3 2 1 1
Cartesian
1.9585 2.1672 3.8007
1.9585 -2.1672 3.8007
1.9585 4.9869 4.7253
1.9585 0.0000 5.7835
1.9585 -4.9869 4.7253
0.0000 3.9362 2.2821
0.0000 -3.9362 2.2821
0.0000 0.0000 3.0383
0.0000 0.0000 0.0194
```

Properties
Energy relative to the elements: -0.581 eV per atom
Calculated total energy: -0.1382 Ha/atom


ErTm2Cd3Pt2Au | GGA-PBE | optimized geometry

Cell and atoms, written as POSCAR:
```
ErTm2Cd3Pt2Au
1.0
-0.4094 -2.5067 -2.9027
3.7172 -5.2823 4.0375
-7.5737 0.5945 0.5548
Tm Cd Pt Au Er
2 3 2 1 1
Cartesian
-5.3736 -2.5302 2.9430
-0.7634 -4.9298 4.3650
0.7791 -2.6527 -0.3816
-3.0391 -4.6988 1.9239
-2.2107 -1.0966 -1.3038
-4.0226 -2.6166 0.2644
-0.2466 -4.5820 1.4291
-3.8541 -4.6849 4.5895
-1.5751 -1.9147 1.8757
```

Properties
Energy relative to the elements: -0.814 eV per atom
Calculated total energy: -0.1589 Ha/atom